Material: Dy4Y2Mg
Method: DFT, PBE
State: relaxed Values from VASP.

```
&SYSTEM
  ibrav = 0, nat = 14, ntyp = 3
/
ATOMIC_SPECIES
Y 88.91 Y.upf
Mg 24.30 Mg.upf
Dy 162.50 Dy.upf
CELL_PARAMETERS angstrom
-5.7896 0.1027 1.6662
-0.4921 -6.3690 -1.3174
5.8274 -2.4209 9.5272
ATOMIC_POSITIONS crystal
Y 0.6074 0.7500 0.0020
Y 0.2797 0.2500 0.4220
Mg 0.1557 0.7500 0.1658
Y 0.7203 0.7500 0.5780
Mg 0.8443 0.2500 0.8342
Dy 0.6456 0.0007 0.2871
Dy 0.1471 0.7500 0.4408
Dy 0.6456 0.4993 0.2871
Dy 0.3544 0.5007 0.7129
Dy 0.8529 0.2500 0.5592
Y 0.3926 0.2500 0.9980
Dy 0.9698 0.2500 0.1248
Dy 0.0302 0.7500 0.8752
Dy 0.3544 0.9993 0.7129
```

- crystal system = monoclinic
- E above lowest polymorph (meV per atom) = 34

***

Material: Dy4Y2Mg
Method: DFT, PBE
State: relaxed Values from VASP.

```
&SYSTEM
  ibrav = 0, nat = 14, ntyp = 3
/
ATOMIC_SPECIES
Y 88.91 Y.upf
Dy 162.50 Dy.upf
Mg 24.30 Mg.upf
CELL_PARAMETERS angstrom
3.6154 0.0000 0.0000
-1.8077 6.2844 0.0000
0.0000 -0.0001 19.1736
ATOMIC_POSITIONS crystal
Y 0.2235 0.4470 0.0828
Dy 0.0390 0.0780 0.8550
Dy 0.9610 0.9220 0.1450
Dy 0.0390 0.0780 0.6450
Dy 0.6868 0.3737 0.7500
Dy 0.9610 0.9220 0.3550
Mg 0.3941 0.7881 0.7500
Dy 0.5000 0.0000 0.0000
Y 0.2235 0.4470 0.4172
Y 0.7765 0.5530 0.5828
Y 0.7765 0.5530 0.9172
Mg 0.6059 0.2119 0.2500
Dy 0.5000 0.0000 0.5000
Dy 0.3132 0.6263 0.2500
```

- crystal system = orthorhombic
- E above lowest polymorph (meV per atom) = 0

***

Material: Dy9Y4Mg11
Method: DFT, PBE
State: relaxed Values from VASP.

```
&SYSTEM
  ibrav = 0, nat = 24, ntyp = 3
/
ATOMIC_SPECIES
Mg 24.30 Mg.upf
Y 88.91 Y.upf
Dy 162.50 Dy.upf
CELL_PARAMETERS angstrom
-3.3931 -0.7195 -0.9420
3.1960 -13.5540 -1.1594
-4.1260 2.2208 13.1649
ATOMIC_POSITIONS crystal
Mg 0.0000 0.8185 0.1815
Y 0.5000 0.5840 0.7502
Mg 0.0000 0.2105 0.2105
Dy 0.5000 0.5000 0.5000
Mg 0.0000 0.7895 0.7895
Mg 0.0000 0.5886 0.9476
Mg 0.0000 0.0000 0.0000
Dy 0.5000 0.1554 0.6206
Dy 0.5000 0.0162 0.2074
Dy 0.5000 0.6206 0.1554
Dy 0.5000 0.9838 0.7926
Dy 0.5000 0.7926 0.9838
Y 0.5000 0.2498 0.4160
Y 0.5000 0.4160 0.2498
Mg 0.0000 0.6323 0.3677
Y 0.5000 0.7502 0.5840
Mg 0.0000 0.0524 0.4114
Mg 0.0000 0.4114 0.0524
Dy 0.5000 0.3794 0.8446
Mg 0.0000 0.3677 0.6323
Dy 0.5000 0.8446 0.3794
Mg 0.0000 0.1815 0.8185
Mg 0.0000 0.9476 0.5886
Dy 0.5000 0.2074 0.0162
```

- crystal system = orthorhombic

***

Material: Dy5Y4Mg
Method: DFT, PBE
State: relaxed Values from VASP.

```
&SYSTEM
  ibrav = 0, nat = 10, ntyp = 3
/
ATOMIC_SPECIES
Dy 162.50 Dy.upf
Mg 24.30 Mg.upf
Y 88.91 Y.upf
CELL_PARAMETERS angstrom
5.7441 0.0000 0.0000
2.8720 7.4840 0.0000
2.8720 0.0000 7.4840
ATOMIC_POSITIONS crystal
Dy 0.7655 0.3711 0.0000
Mg 0.1932 0.0000 0.0000
Y 0.1409 0.3195 0.3195
Dy 0.6714 0.0000 0.0000
Y 0.4604 0.6805 0.3195
Dy 0.1366 0.0000 0.6289
Y 0.4604 0.3195 0.6805
Dy 0.7655 0.0000 0.3711
Dy 0.1366 0.6289 0.0000
Y 0.7799 0.6805 0.6805
```

- crystal system = tetragonal
- E above lowest polymorph (meV per atom) = 193

***

Material: Dy2Y4Mg
Method: DFT, PBE
State: relaxed Values from VASP.

```
&SYSTEM
  ibrav = 0, nat = 7, ntyp = 3
/
ATOMIC_SPECIES
Y 88.91 Y.upf
Dy 162.50 Dy.upf
Mg 24.30 Mg.upf
CELL_PARAMETERS angstrom
-1.1004 -2.4347 2.2245
2.4278 -6.1195 -5.4968
6.1941 3.7441 4.4454
ATOMIC_POSITIONS crystal
Y 0.0798 0.7022 0.1597
Dy 0.2199 0.1412 0.4399
Y 0.9202 0.2978 0.8403
Y 0.3659 0.6012 0.7318
Mg 0.0000 0.0000 0.0000
Dy 0.7801 0.8588 0.5601
Y 0.6341 0.3988 0.2682
```

- crystal system = monoclinic
- E above lowest polymorph (meV per atom) = 0

***

Material: DyY3Mg3
Method: DFT, PBE
State: relaxed Values from VASP.

```
&SYSTEM
  ibrav = 0, nat = 14, ntyp = 3
/
ATOMIC_SPECIES
Dy 162.50 Dy.upf
Mg 24.30 Mg.upf
Y 88.91 Y.upf
CELL_PARAMETERS angstrom
7.7368 -0.2111 0.1040
-0.1935 7.7372 0.1040
0.0976 0.0973 6.9421
ATOMIC_POSITIONS crystal
Dy 0.3201 0.3201 0.9603
Dy 0.6799 0.6799 0.0397
Mg 0.6745 0.3255 0.5000
Y 0.9891 0.5131 0.7480
Y 0.0008 0.0008 0.7537
Y 0.5131 0.9891 0.7480
Y 0.0109 0.4869 0.2520
Mg 0.2735 0.2735 0.4918
Mg 0.2535 0.7465 0.0000
Y 0.4869 0.0109 0.2520
Mg 0.7465 0.2535 0.0000
Y 0.9992 0.9992 0.2463
Mg 0.3255 0.6745 0.5000
Mg 0.7265 0.7265 0.5082
```

- crystal system = monoclinic

***

Material: DyYMg
Method: DFT, PBE
State: relaxed Values from VASP.

```
&SYSTEM
  ibrav = 0, nat = 6, ntyp = 3
/
ATOMIC_SPECIES
Mg 24.30 Mg.upf
Dy 162.50 Dy.upf
Y 88.91 Y.upf
CELL_PARAMETERS angstrom
6.3710 0.5854 0.0714
2.1581 6.0228 0.0714
-0.0561 -0.0434 5.3597
ATOMIC_POSITIONS crystal
Mg 0.7500 0.7500 0.5000
Dy 0.5000 0.0000 0.0000
Y 0.2500 0.7500 0.5000
Mg 0.2500 0.2500 0.5000
Y 0.7500 0.2500 0.5000
Dy 0.0000 0.5000 0.0000
```

- crystal system = orthorhombic
- E above lowest polymorph (meV per atom) = 422

***

Material: Dy8Y2Mg
Method: DFT, PBE
State: relaxed Values from VASP.

```
&SYSTEM
  ibrav = 0, nat = 11, ntyp = 3
/
ATOMIC_SPECIES
Dy 162.50 Dy.upf
Y 88.91 Y.upf
Mg 24.30 Mg.upf
CELL_PARAMETERS angstrom
-6.5129 -0.2286 1.3425
-4.8207 -8.7328 0.3191
-3.6257 -6.6822 6.4656
ATOMIC_POSITIONS crystal
Dy 0.8275 0.2468 0.2468
Dy 0.7248 0.5945 0.5945
Y 0.5733 0.8134 0.8134
Y 0.4267 0.1866 0.1866
Dy 0.1725 0.7532 0.7532
Dy 0.2220 0.3407 0.8219
Dy 0.7780 0.1781 0.6593
Mg 0.0000 0.0000 0.0000
Dy 0.7780 0.6593 0.1781
Dy 0.2752 0.4055 0.4055
Dy 0.2220 0.8219 0.3407
```

- crystal system = monoclinic

***

Number 1: total DFT energy (no corrections) -4.602 eV per atom, ΔE_f 0.103 eV/atom. Number 2: total DFT energy (no corrections) -4.635 eV per atom, ΔE_f 0.069 eV/atom. Number 3: total DFT energy (no corrections) -3.566 eV per atom, ΔE_f -0.032 eV/atom. Number 4: total DFT energy (no corrections) -4.850 eV per atom, ΔE_f 0.196 eV/atom. Number 5: total DFT energy (no corrections) -5.140 eV per atom, ΔE_f 0.096 eV/atom. Number 6: total DFT energy (no corrections) -4.038 eV per atom, ΔE_f 0.073 eV/atom. Number 7: total DFT energy (no corrections) -3.877 eV per atom, ΔE_f 0.343 eV/atom. Number 8: total DFT energy (no corrections) -4.516 eV per atom, ΔE_f 0.151 eV/atom.